Ba8Nb6CoO24 (PBE+U, relaxed); symmetry = P-3m1 (164); DFT total energy = -7.87 eV per atom; size of the total moment = 0.077 μB per atom
1.0
5.873 0.000 0.000
-2.937 5.086 0.000
0.000 0.000 19.176
Ba Nb Co O
8 6 1 24
direct
0.000 0.000 0.185
0.000 0.000 0.815
0.333 0.667 0.062
0.333 0.667 0.456
0.333 0.667 0.683
0.667 0.333 0.317
0.667 0.333 0.544
0.667 0.333 0.938
0.000 0.000 0.385
0.000 0.000 0.615
0.333 0.667 0.253
0.333 0.667 0.880
0.667 0.333 0.120
0.667 0.333 0.747
0.000 0.000 0.000
0.002 0.501 0.186
0.164 0.328 0.571
0.164 0.836 0.571
0.169 0.338 0.307
0.169 0.831 0.307
0.172 0.343 0.935
0.172 0.828 0.935
0.328 0.164 0.429
0.338 0.169 0.693
0.343 0.172 0.065
0.499 0.501 0.186
0.499 0.998 0.186
0.501 0.002 0.814
0.501 0.499 0.814
0.657 0.828 0.935
0.662 0.831 0.307
0.672 0.836 0.571
0.828 0.172 0.065
0.828 0.657 0.065
0.831 0.169 0.693
0.831 0.662 0.693
0.836 0.164 0.429
0.836 0.672 0.429
0.998 0.499 0.814



Ba3Nb2CoO9 (PBE+U, relaxed); symmetry = C2/m (12); DFT total energy = -7.66 eV per atom; size of the total moment = 0.200 μB per atom
1.0
5.079 -2.926 0.000
5.079 2.926 0.000
-0.009 0.000 7.191
Ba Nb Co O
3 2 1 9
direct
0.000 0.000 0.000
0.335 0.335 0.334
0.665 0.665 0.666
0.333 0.333 0.822
0.667 0.667 0.178
0.000 0.000 0.500
0.000 0.500 0.000
0.171 0.171 0.675
0.172 0.657 0.674
0.343 0.828 0.326
0.500 0.000 0.000
0.500 0.500 0.000
0.657 0.172 0.674
0.828 0.343 0.326
0.829 0.829 0.325